Tl4Ag18Te11: PBEsol geometry, SCAN.

Structure (POSCAR):
```
Tl4Ag18Te11
1.0
-11.645 -1.367 5.553
10.487 -5.296 5.533
4.688 4.933 11.045
Tl Ag Te
8 36 22
Direct
0.999 0.998 0.001
0.765 0.530 0.235
0.234 0.000 0.766
0.234 0.000 0.234
0.766 0.000 0.766
0.457 0.914 0.543
0.766 0.000 0.234
0.230 0.460 0.770
0.742 0.735 0.743
0.742 0.735 0.522
0.521 0.512 0.744
0.743 0.485 0.992
0.993 0.735 0.743
0.993 0.735 0.522
0.521 0.263 0.993
0.991 0.512 0.744
0.742 0.263 0.993
0.743 0.485 0.523
0.521 0.263 0.743
0.477 0.485 0.257
0.257 0.263 0.479
0.742 0.263 0.743
0.257 0.263 0.258
0.008 0.485 0.257
0.257 0.735 0.007
0.478 0.735 0.007
0.007 0.263 0.479
0.007 0.263 0.258
0.256 0.512 0.009
0.387 0.999 0.000
0.998 0.612 0.386
0.257 0.735 0.258
0.612 0.999 0.000
0.999 0.384 0.614
0.256 0.512 0.479
0.478 0.735 0.258
0.998 0.612 0.002
0.614 0.612 0.386
0.386 0.384 0.614
0.999 0.384 0.001
0.614 0.612 0.002
0.000 0.999 0.613
0.386 0.384 0.001
0.000 0.999 0.388
0.892 0.784 0.892
0.892 0.784 0.323
0.322 0.214 0.893
0.750 0.499 0.750
0.500 0.311 0.500
0.892 0.214 0.893
0.500 0.999 0.811
0.811 0.311 0.500
0.500 0.311 0.189
0.189 0.999 0.500
0.811 0.311 0.189
0.188 0.687 0.812
0.500 0.999 0.190
0.188 0.687 0.501
0.499 0.687 0.812
0.810 0.999 0.500
0.108 0.784 0.108
0.499 0.687 0.501
0.677 0.784 0.108
0.107 0.214 0.678
0.250 0.499 0.250
0.107 0.214 0.108
```

Summary:
total DFT energy (no corrections): -38.436 eV per atom
magnetization: 0.00 μB/cell
Fermi-level density of states: 9.8 states/eV per cell
symmetry: I4mm
crystal system: tetragonal